Here is Li2InP2HO8 after structural relaxation from Alexandria. Energies are from PBE.

Output
Electronic total energy, eV/atom: -6.403

a b c (Å): 8.390 4.875 7.845
angles (deg): 76.67 90.00 90.00
Element x y z (fractional)
Li 0.138 0.628 0.906
Li 0.362 0.140 0.412
Li 0.862 0.860 0.588
Li 0.638 0.372 0.094
In 0.500 0.746 0.747
In 0.000 0.254 0.253
P 0.348 0.110 0.021
P 0.149 0.613 0.525
P 0.649 0.387 0.475
P 0.848 0.890 0.979
H 0.486 0.777 0.240
H 0.986 0.223 0.760
O 0.190 0.243 0.060
O 0.310 0.749 0.559
O 0.810 0.251 0.441
O 0.690 0.757 0.940
O 0.427 0.977 0.205
O 0.068 0.484 0.703
O 0.568 0.516 0.297
O 0.927 0.023 0.795
O 0.322 0.883 0.915
O 0.179 0.391 0.414
O 0.679 0.609 0.586
O 0.822 0.117 0.085
O 0.466 0.337 0.926
O 0.035 0.841 0.421
O 0.535 0.159 0.579
O 0.966 0.663 0.074